Below is a relaxed structure of Tm4CuRh, with properties calculated at the PBE level.

```
Tm4CuRh
1.0
0.000 6.543 6.543
6.543 0.000 6.543
6.543 6.543 0.000
Tm Cu Rh
16 4 4
Cartesian
3.272 3.272 0.804
3.272 0.804 3.272
5.739 3.272 3.272
7.999 5.087 5.087
6.543 6.543 2.425
6.543 2.425 6.543
10.661 6.543 6.543
0.804 3.272 3.272
3.272 5.739 3.272
3.272 3.272 5.739
5.087 7.999 5.087
5.087 5.087 7.999
7.999 7.999 7.999
2.425 6.543 6.543
6.543 10.661 6.543
6.543 6.543 10.661
10.869 8.760 8.760
8.760 10.869 8.760
8.760 8.760 10.869
10.869 10.869 10.869
5.192 5.192 5.192
7.894 7.894 5.192
7.894 5.192 7.894
5.192 7.894 7.894
```

Values from the calculation:
Density ... 9.985 g cm⁻³
Total DFT energy (no corrections) ... -5.322 eV per atom
Energy of formation from the pure elements ... -9.99 kcal/mol of atoms
Crystal system ... cubic
DOS at the Fermi energy ... 20.9 states/eV/cell
M_tot ... 0.00 μB/f.u.